Pr2FePdO6 PBE with a Hubbard U relaxed; E = -71.7 eV/f.u.
1.0
5.537 0.000 -0.036
0.000 5.944 0.000
-0.002 0.000 7.811
Pr Fe Pd O
4 2 2 12
Direct
0.019 0.928 0.250
0.519 0.572 0.750
0.981 0.072 0.750
0.481 0.428 0.250
0.500 0.000 0.000
0.000 0.500 0.500
0.500 0.000 0.500
0.000 0.500 0.000
0.308 0.702 0.051
0.808 0.798 0.551
0.692 0.298 0.949
0.192 0.202 0.449
0.291 0.682 0.450
0.791 0.818 0.950
0.709 0.318 0.550
0.209 0.182 0.050
0.898 0.531 0.252
0.398 0.969 0.752
0.102 0.469 0.748
0.602 0.031 0.248